Entry 1:
Below is an optimized crystal structure of Pr2PdSe, with properties calculated at the PBE level.

Unit cell a=4.0592 b=23.7085 c=4.4295 alpha=90.00 beta=90.00 gamma=90.00
Space group Cmcm (No. 63)
Unique sites:
Pr 0.0000 0.0635 0.2500 [4 per cell]
Pr 0.0000 0.3162 0.2500 [4 per cell]
Pd 0.0000 0.4588 0.2500 [4 per cell]
Se 0.0000 0.1902 0.2500 [4 per cell]

---

Entry 2:
Below is an optimized crystal structure of Pr5PdSe4, with properties calculated at the PBE level.

Unit cell a=4.2578 b=4.2578 c=30.3386 alpha=90.00 beta=90.00 gamma=90.00
Space group I4/mmm (No. 139)
Unique sites:
Pr 0.0000 0.0000 0.0000 [2 per cell]
Pr 0.0000 0.0000 0.1999 [4 per cell]
Pr 0.0000 0.0000 0.3992 [4 per cell]
Pd 0.0000 0.0000 0.5000 [2 per cell]
Se 0.0000 0.0000 0.1003 [4 per cell]
Se 0.0000 0.0000 0.3002 [4 per cell]

---

Entry 3:
Below is an optimized crystal structure of PrPd3Se4, with properties calculated at the PBE level.

Unit cell a=7.1066 b=7.1066 c=7.1066 alpha=90.00 beta=90.00 gamma=90.00
Space group Pm-3n (No. 223)
Unique sites:
Pr 0.0000 0.0000 0.0000 [2 per cell]
Pd 0.0000 0.2500 0.5000 [6 per cell]
Se 0.2500 0.2500 0.2500 [8 per cell]

---

Entry 4:
Below is an optimized crystal structure of Pr2PdSe, with properties calculated at the PBE level.

Unit cell a=4.1753 b=4.1753 c=22.1862 alpha=90.00 beta=90.00 gamma=120.00
Space group R-3m (No. 166, hexagonal axes)
Unique sites:
Pr 0.0000 0.0000 0.2458 [6 per cell]
Pd 0.0000 0.0000 0.5000 [3 per cell]
Se 0.0000 0.0000 0.0000 [3 per cell]

---

Entry 5:
Below is an optimized crystal structure of Pr3Pd5Se12, with properties calculated at the PBE level.

Unit cell a=15.9741 b=15.9741 c=15.9741 alpha=90.00 beta=90.00 gamma=90.00
Space group Ia-3d (No. 230)
Unique sites:
Pr 0.0000 0.2500 0.1250 [24 per cell]
Pd 0.0000 0.0000 0.0000 [16 per cell]
Pd 0.0000 0.2500 0.3750 [24 per cell]
Se 0.0251 0.0575 0.6467 [96 per cell]

---

Entry 6:
Below is an optimized crystal structure of Pr5PdSe8, with properties calculated at the PBE level.

Unit cell a=8.8588 b=8.8588 c=9.1799 alpha=90.00 beta=90.00 gamma=90.00
Space group I-4 (No. 82)
Unique sites:
Pr 0.0000 0.0000 0.0000 [2 per cell]
Pr 0.1310 0.2524 0.6121 [8 per cell]
Pd 0.0000 0.5000 0.2500 [2 per cell]
Se 0.0571 0.1975 0.2881 [8 per cell]
Se 0.0826 0.3164 0.9270 [8 per cell]

---

Entry 7:
Below is an optimized crystal structure of Pr2PdSe, with properties calculated at the PBE level.

Unit cell a=4.1615 b=4.1615 c=22.6260 alpha=90.00 beta=90.00 gamma=120.00
Space group R3m (No. 160, hexagonal axes)
Unique sites:
Pr 0.0000 0.0000 0.0000 [3 per cell]
Pr 0.0000 0.0000 0.1807 [3 per cell]
Pd 0.0000 0.0000 0.5906 [3 per cell]
Se 0.0000 0.0000 0.4230 [3 per cell]

---

Entry 8:
Below is an optimized crystal structure of PrPdSe, with properties calculated at the PBE level.

Unit cell a=4.4098 b=4.4098 c=3.9591 alpha=90.00 beta=90.00 gamma=120.00
Space group P-6m2 (No. 187)
Unique sites:
Pr 0.0000 0.0000 0.0000 [1 per cell]
Pd 0.3333 0.6667 0.5000 [1 per cell]
Se 0.6667 0.3333 0.5000 [1 per cell]

---

Entry 9:
Below is an optimized crystal structure of Pr4Te2PdSe, with properties calculated at the PBE level.

Unit cell a=7.6677 b=4.3224 c=7.7481 alpha=90.00 beta=109.10 gamma=90.00
Space group P2/m (No. 10)
Unique sites:
Pr 0.2331 0.0000 0.2221 [2 per cell]
Pr 0.2591 0.5000 0.7690 [2 per cell]
Te 0.0000 0.0000 0.5000 [1 per cell]
Te 0.5000 0.5000 0.5000 [1 per cell]
Pd 0.0000 0.5000 0.0000 [1 per cell]
Se 0.5000 0.0000 0.0000 [1 per cell]

---

Entry 10:
Below is an optimized crystal structure of PrSiPd3, with properties calculated at the PBE level.

Unit cell a=4.6551 b=4.6551 c=4.6551 alpha=90.00 beta=90.00 gamma=90.00
Space group Pm-3m (No. 221)
Unique sites:
Pr 0.0000 0.0000 0.0000 [1 per cell]
Si 0.5000 0.5000 0.5000 [1 per cell]
Pd 0.0000 0.5000 0.5000 [3 per cell]

---

Entry 11:
Below is an optimized crystal structure of PrSi2Pd7, with properties calculated at the PBE level.

Unit cell a=7.3220 b=11.8056 c=4.5407 alpha=90.00 beta=90.00 gamma=90.00
Space group Cmmm (No. 65)
Unique sites:
Pr 0.0000 0.0000 0.0000 [2 per cell]
Si 0.0000 0.3026 0.5000 [4 per cell]
Pd 0.0000 0.2484 0.0000 [4 per cell]
Pd 0.0000 0.5000 0.5000 [2 per cell]
Pd 0.1917 0.1318 0.5000 [8 per cell]

---

Entry 12:
Below is an optimized crystal structure of PrSi2Pd9, with properties calculated at the PBE level.

Unit cell a=10.8683 b=10.8683 c=6.6924 alpha=90.00 beta=90.00 gamma=90.00
Space group I4_1/amd (No. 141, origin choice 2)
Unique sites:
Pr 0.0000 0.2500 0.3750 [4 per cell]
Si 0.0000 0.0000 0.0000 [8 per cell]
Pd 0.0000 0.2500 0.8750 [4 per cell]
Pd 0.1232 0.0570 0.6830 [32 per cell]

---

Entry 13:
Below is an optimized crystal structure of Pr3Si2Pd, with properties calculated at the PBE level.

Unit cell a=11.9313 b=4.3778 c=11.8333 alpha=90.00 beta=90.00 gamma=90.00
Space group Pnma (No. 62)
Unique sites:
Pr 0.0565 0.2500 0.1251 [4 per cell]
Pr 0.1213 0.7500 0.5604 [4 per cell]
Pr 0.2086 0.2500 0.8074 [4 per cell]
Si 0.0233 0.7500 0.3140 [4 per cell]
Si 0.1913 0.7500 0.9953 [4 per cell]
Pd 0.1288 0.2500 0.3698 [4 per cell]

---

Entry 14:
Below is an optimized crystal structure of PrSi4Pd6, with properties calculated at the PBE level.

Unit cell a=7.1381 b=7.1381 c=3.9765 alpha=90.00 beta=90.00 gamma=120.00
Space group P-6m2 (No. 187)
Unique sites:
Pr 0.0000 0.0000 0.0000 [1 per cell]
Si 0.3333 0.6667 0.0000 [1 per cell]
Si 0.3947 0.1973 0.5000 [3 per cell]
Pd 0.1997 0.3993 0.5000 [3 per cell]
Pd 0.5340 0.0680 0.0000 [3 per cell]

---

Entry 15:
Below is an optimized crystal structure of Pr2Si2Pd5, with properties calculated at the PBE level.

Unit cell a=4.2813 b=4.2813 c=9.0657 alpha=90.00 beta=90.00 gamma=90.00
Space group P4/mmm (No. 123)
Unique sites:
Pr 0.0000 0.0000 0.0000 [1 per cell]
Pr 0.0000 0.0000 0.5000 [1 per cell]
Si 0.5000 0.5000 0.1338 [2 per cell]
Pd 0.0000 0.5000 0.2663 [4 per cell]
Pd 0.5000 0.5000 0.5000 [1 per cell]

---

Entry 16:
Below is an optimized crystal structure of PrSi2Pd2, with properties calculated at the PBE level.

Unit cell a=3.8773 b=3.8773 c=17.8852 alpha=90.00 beta=90.00 gamma=90.00
Space group I4/mmm (No. 139)
Unique sites:
Pr 0.0000 0.0000 0.0000 [2 per cell]
Si 0.0000 0.0000 0.1682 [4 per cell]
Pd 0.0000 0.5000 0.2500 [4 per cell]

---

Entry 17:
Below is an optimized crystal structure of Pr3Si4Pd2, with properties calculated at the PBE level.

Unit cell a=11.3034 b=4.1513 c=8.4562 alpha=90.00 beta=100.57 gamma=90.00
Space group C2/m (No. 12)
Unique sites:
Pr 0.0000 0.0000 0.0000 [2 per cell]
Pr 0.1649 0.5000 0.6669 [4 per cell]
Si 0.0517 0.0000 0.3893 [4 per cell]
Si 0.2224 0.5000 0.0600 [4 per cell]
Pd 0.1101 0.5000 0.2772 [4 per cell]

---

Entry 18:
Below is an optimized crystal structure of Pr2Si4Pd3, with properties calculated at the PBE level.

Unit cell a=5.7238 b=15.2352 c=7.4713 alpha=90.00 beta=90.00 gamma=90.00
Space group Cmce (No. 64)
Unique sites:
Pr 0.0000 0.1062 0.0954 [8 per cell]
Si 0.0000 0.1803 0.4827 [8 per cell]
Si 0.2500 0.0629 0.7500 [8 per cell]
Pd 0.0000 0.0000 0.5000 [4 per cell]
Pd 0.2500 0.2247 0.7500 [8 per cell]

---

E_form (uncorrected) readings, ordered: -1285, -1605, -808, -1211, -726, -1636, -1168, -1180, -1356, -631, -436, -579, -723, -784, -868, 30, -879, -745 meV per atom